[1]
First-principles (PBE) data for crystalline AlTe2SF at its relaxed geometry, as listed in the Alexandria database.

The value obtained for the volume is 116.4 Å³/cell. As for the density of states at the Fermi level: 0.55 states/eV per atom. For the formation energy (no corrections), the calculation gives -0.036 eV per atom.

Lattice parameters (Å, degrees): 5.2601 5.2601 4.2053 90.00 90.00 90.00
With the nearest neighbours (Å) after each atom.
Fractional coordinates of all 5 atoms:
Al1 0.0000 0.0000 0.0000  8 Te 3.37, 4 F 3.72
Te1 0.0000 0.5000 0.5000  2 S 2.63
Te2 0.5000 0.0000 0.5000  2 S 2.63
S1 0.5000 0.5000 0.5000  2 F 2.10
F1 0.5000 0.5000 0.0000  2 S 2.10

=====

[2]
First-principles (PBE) data for crystalline TlRe2Au at its relaxed geometry, as listed in the Alexandria database.

The value obtained for the volume is 68.6 Å³/cell. As for the density of states at the Fermi level: 0.86 states/eV per atom. The formation energy is 1138.5 meV per atom.

Lattice parameters (Å, degrees): 4.6488 4.6488 3.1746 90.00 90.00 90.00
With the nearest neighbours (Å) after each atom.
Fractional coordinates of all 4 atoms:
Tl1 0.0000 0.0000 0.0000  8 Re 2.81
Re1 0.0000 0.5000 0.5000  4 Tl 2.81, 4 Au 2.81
Re2 0.5000 0.0000 0.5000  4 Tl 2.81, 4 Au 2.81
Au1 0.5000 0.5000 0.0000  8 Re 2.81

=====

[3]
First-principles (PBE) data for crystalline K2CoMo at its relaxed geometry, as listed in the Alexandria database.

The value obtained for the volume is 112.7 Å³/cell. As for the density of states at the Fermi level: 1.21 states/eV per atom. The formation energy is 802.7 meV per atom.

Lattice parameters (Å, degrees): 3.2515 3.2621 10.6220 90.00 90.46 90.00
With the nearest neighbours (Å) after each atom.
Fractional coordinates of all 4 atoms:
K1 0.0000 0.0000 0.0000  4 K 3.25-3.26, 1 Co 3.60, 4 Mo 3.62-3.63
K2 0.4833 0.5000 0.4182  4 K 3.25-3.26, 1 Mo 3.38, 4 Co 3.45-3.46
Co1 0.9928 0.0000 0.6613  4 Mo 2.44
Mo1 0.4947 0.5000 0.7363  4 Co 2.44

=====

[4]
First-principles (PBE) data for crystalline LaY9In2 at its relaxed geometry, as listed in the Alexandria database.

The value obtained for the volume is 364.5 Å³/cell. As for the density of states at the Fermi level: 1.40 states/eV per atom. The formation energy is -155.3 meV per atom.

Lattice parameters (Å, degrees): 4.8936 4.8936 15.2219 90.00 90.00 90.00
With the nearest neighbours (Å) after each atom.
Fractional coordinates of all 12 atoms:
La1 0.0000 0.0000 0.0000  12 Y 3.46-3.65
Y1 0.0000 0.5000 0.1781  8 Y 3.46-3.65, 2 In 3.48, 2 La 3.65
Y2 0.0000 0.5000 0.5000  8 Y 3.44-3.46, 4 In 3.45
Y3 0.0000 0.5000 0.8219  8 Y 3.46-3.65, 2 In 3.48, 2 La 3.65
Y4 0.5000 0.0000 0.1781  8 Y 3.46-3.65, 2 In 3.48, 2 La 3.65
Y5 0.5000 0.0000 0.5000  8 Y 3.44-3.46, 4 In 3.45
Y6 0.5000 0.0000 0.8219  8 Y 3.46-3.65, 2 In 3.48, 2 La 3.65
Y7 0.5000 0.5000 0.0000  4 La 3.46, 8 Y 3.65
Y8 0.5000 0.5000 0.3412  8 Y 3.44-3.49, 4 In 3.46
Y9 0.5000 0.5000 0.6588  8 Y 3.44-3.49, 4 In 3.46
In1 0.0000 0.0000 0.3403  12 Y 3.45-3.48
In2 0.0000 0.0000 0.6597  12 Y 3.45-3.48

=====

[5]
First-principles (PBE) data for crystalline Tb2HoEr8 at its relaxed geometry, as listed in the Alexandria database.

The value obtained for the volume is 343.0 Å³/cell. As for the density of states at the Fermi level: 1.47 states/eV per atom. The formation energy is 117.6 meV per atom.

Lattice parameters (Å, degrees): 9.2386 9.2386 9.2386 145.74 128.60 63.23
With the nearest neighbours (Å) after each atom.
Fractional coordinates of all 11 atoms:
Tb1 0.2011 0.2011 0.0000  10 Er 3.34-3.57
Tb2 0.7989 0.7989 0.0000  10 Er 3.34-3.57
Ho1 0.5000 0.5000 0.0000  4 Er 3.20
Er1 0.0696 0.3617 0.7079  1 Ho 3.20, 4 Er 3.33-3.57, 3 Tb 3.34-3.45
Er2 0.2069 0.0000 0.2069  7 Er 3.32-3.48, 2 Tb 3.57, 2 Ho 3.59
Er3 0.3393 0.8393 0.5000  8 Er 3.45-3.61, 2 Tb 3.48, 2 Ho 3.71
Er4 0.3462 0.6383 0.7079  1 Ho 3.20, 4 Er 3.33-3.57, 3 Tb 3.34-3.45
Er5 0.6538 0.3617 0.2921  1 Ho 3.20, 4 Er 3.33-3.57, 3 Tb 3.34-3.45
Er6 0.6607 0.1607 0.5000  8 Er 3.45-3.61, 2 Tb 3.48, 2 Ho 3.71
Er7 0.7931 0.0000 0.7931  7 Er 3.32-3.48, 2 Tb 3.57, 2 Ho 3.59
Er8 0.9304 0.6383 0.2921  1 Ho 3.20, 4 Er 3.33-3.57, 3 Tb 3.34-3.45

=====

[6]
First-principles (PBE) data for crystalline U2Tl5Br12 at its relaxed geometry, as listed in the Alexandria database.

The value obtained for the volume is 800.7 Å³/cell. As for the density of states at the Fermi level: 0.81 states/eV per atom. For the formation energy (no corrections), the calculation gives -1.045 eV per atom.

Lattice parameters (Å, degrees): 10.1207 10.1207 10.7933 107.53 107.53 50.17
With the nearest neighbours (Å) after each atom.
Fractional coordinates of all 19 atoms:
U1 0.2486 0.7514 0.0000  6 Br 2.75-2.92
U2 0.7514 0.2486 0.0000  6 Br 2.75-2.92
Tl1 0.1793 0.1793 0.7700  2 Br 3.09
Tl2 0.2189 0.2189 0.3790  4 Br 3.24-3.38
Tl3 0.5000 0.5000 0.5000  6 Br 3.32-3.47
Tl4 0.7811 0.7811 0.6210  4 Br 3.24-3.38
Tl5 0.8207 0.8207 0.2300  2 Br 3.09
Br1 0.0089 0.0089 0.1889  2 U 2.92
Br2 0.0839 0.5992 0.9325  1 U 2.75
Br3 0.1022 0.6117 0.4514  4 Tl 3.09-3.38
Br4 0.3883 0.8978 0.5486  4 Tl 3.09-3.38
Br5 0.4008 0.9161 0.0675  1 U 2.75
Br6 0.4890 0.4890 0.8148  2 U 2.90
Br7 0.5110 0.5110 0.1852  2 U 2.90
Br8 0.5992 0.0839 0.9325  1 U 2.75
Br9 0.6117 0.1022 0.4514  4 Tl 3.09-3.38
Br10 0.8978 0.3883 0.5486  4 Tl 3.09-3.38
Br11 0.9161 0.4008 0.0675  1 U 2.75
Br12 0.9911 0.9911 0.8111  2 U 2.92

=====

[7]
First-principles (PBE) data for crystalline KTlSb2Te at its relaxed geometry, as listed in the Alexandria database.

The value obtained for the volume is 204.2 Å³/cell. As for the density of states at the Fermi level: 0.97 states/eV per atom. For the formation energy (no corrections), the calculation gives 0.308 eV per atom.

Lattice parameters (Å, degrees): 5.7898 5.7898 6.0924 90.00 90.00 90.00
With the nearest neighbours (Å) after each atom.
Fractional coordinates of all 5 atoms:
K1 0.0000 0.0000 0.0000  4 Te 4.09, 8 Sb 4.20
Tl1 0.5000 0.5000 0.5000  4 Sb 2.89, 2 Te 3.05
Sb1 0.0000 0.5000 0.5000  2 Tl 2.89
Sb2 0.5000 0.0000 0.5000  2 Tl 2.89
Te1 0.5000 0.5000 0.0000  2 Tl 3.05

=====

[8]
First-principles (PBE) data for crystalline Ba3TcSn at its relaxed geometry, as listed in the Alexandria database.

The value obtained for the volume is 191.7 Å³/cell. As for the density of states at the Fermi level: 1.56 states/eV per atom. The formation energy is 304.0 meV per atom.

Lattice parameters (Å, degrees): 5.7658 5.7658 5.7658 90.00 90.00 90.00
With the nearest neighbours (Å) after each atom.
Fractional coordinates of all 5 atoms:
Ba1 0.0000 0.0000 0.5000  2 Tc 2.88
Ba2 0.0000 0.5000 0.0000  2 Tc 2.88
Ba3 0.5000 0.0000 0.0000  2 Tc 2.88
Tc1 0.0000 0.0000 0.0000  6 Ba 2.88
Sn1 0.5000 0.5000 0.5000  12 Ba 4.08

=====

[9]
First-principles (PBE) data for crystalline CsBr4 at its relaxed geometry, as listed in the Alexandria database.

The value obtained for the volume is 412.0 Å³/cell. As for the density of states at the Fermi level: 0.00 states/eV per atom. For the formation energy (no corrections), the calculation gives -0.694 eV per atom.

Lattice parameters (Å, degrees): 8.3870 8.3870 8.3870 120.80 120.80 88.61
With the nearest neighbours (Å) after each atom.
Fractional coordinates of all 10 atoms:
Cs1 0.2500 0.7500 0.5000  12 Br 4.16-4.21
Cs2 0.7500 0.2500 0.5000  12 Br 4.16-4.21
Br1 0.0000 0.0000 0.0000  2 Br 2.57
Br2 0.2140 0.2140 0.0000  1 Br 2.57
Br3 0.2771 0.2771 0.5542  1 Br 2.61
Br4 0.2771 0.7229 0.0000  1 Br 2.61
Br5 0.5000 0.5000 0.0000  4 Br 2.61
Br6 0.7229 0.2771 0.0000  1 Br 2.61
Br7 0.7229 0.7229 0.4458  1 Br 2.61
Br8 0.7860 0.7860 0.0000  1 Br 2.57

=====

[10]
First-principles (PBE) data for crystalline Tl2OsAu at its relaxed geometry, as listed in the Alexandria database.

The value obtained for the volume is 79.9 Å³/cell. As for the density of states at the Fermi level: 0.86 states/eV per atom. The formation energy is 787.6 meV per atom.

Lattice parameters (Å, degrees): 4.9571 4.9571 3.2529 90.00 90.00 90.00
With the nearest neighbours (Å) after each atom.
Fractional coordinates of all 4 atoms:
Tl1 0.0000 0.5000 0.0000  4 Os 2.96, 4 Au 2.96, 2 Tl 3.25
Tl2 0.5000 0.0000 0.0000  4 Os 2.96, 4 Au 2.96, 2 Tl 3.25
Os1 0.0000 0.0000 0.5000  8 Tl 2.96, 2 Os 3.25
Au1 0.5000 0.5000 0.5000  8 Tl 2.96, 2 Au 3.25

=====

> Which formula does entry 8 have?

Ba3TcSn

=====

> Which formula does entry 1 have?

AlTe2SF

=====

> Number 5 is which compound?

Tb2HoEr8